1.
Y2LuCu4Si2Ge2 after structural relaxation. Source: OQMD, functional PBE-GGA.

Relative energy among the computed polymorphs   0 kJ/mol of formula units
Calculated total energy   -118.69 eV per cell

a b c (Å): 4.1393 6.5628 13.7816
angles (deg): 90.00 90.00 90.00
Closest atoms and distances in Å follow each position.
Space group Immm (No. 71)
Symmetry-distinct sites (fractional):
Y 0.0000 0.0000 0.1295 [4 per cell]  6 Cu 2.97-2.98, 2 Si 2.98, 4 Ge 3.02
Lu 0.0000 0.5000 0.0000 [2 per cell]  4 Ge 2.87, 2 Si 2.97
Cu 0.0000 0.1902 0.3260 [8 per cell]  3 Si 2.48-2.54, 1 Cu 2.50, 1 Ge 2.51
Si 0.0000 0.5000 0.2152 [4 per cell]  6 Cu 2.48-2.54
Ge 0.0000 0.3039 0.5000 [4 per cell]  2 Cu 2.51, 1 Ge 2.57

=====

2.
TcSbPO after structural relaxation. Source: OQMD, functional PBE-GGA.

Relative energy among the computed polymorphs   65 kJ/mol of formula units
Calculated total energy   -52.14 eV per cell

a b c (Å): 3.3756 6.3129 7.6432
angles (deg): 90.00 90.00 90.00
Closest atoms and distances in Å follow each position.
Space group Pmc2_1 (No. 26)
Symmetry-distinct sites (fractional):
Tc 0.0000 0.1520 0.0000 [2 per cell]  2 O 1.91
Sb 0.5000 0.2411 0.5361 [2 per cell]  2 P 2.56
P 0.0000 0.1362 0.2999 [2 per cell]  2 Tc 2.29-2.38, 2 Sb 2.56
O 0.5000 0.2822 0.9518 [2 per cell]  2 Tc 1.91